[1]
A geometry-optimized BiTe3Rh2 structure. Source: Alexandria, functional GGA-PBE.

Output
Magnetic moment (μB/f.u.): 0.00
E_form (uncorrected) (kJ per mole of atoms): -34.3
Space-group type: P-3m1 (164)
Calculated density (Mg/m³): 8.75

The structure in POSCAR format:
```
BiTe3Rh2
1.0
7.910 0.000 0.000
-3.955 6.850 0.000
0.000 0.000 5.590
Bi Te Rh
2 6 4
Direct
0.333 0.667 0.279
0.667 0.333 0.721
0.168 0.336 0.754
0.168 0.832 0.754
0.336 0.168 0.246
0.664 0.832 0.754
0.832 0.168 0.246
0.832 0.664 0.246
0.000 0.000 0.000
0.000 0.500 0.000
0.500 0.000 0.000
0.500 0.500 0.000
```

***

[2]
A geometry-optimized CsReS2 structure. Source: Alexandria, functional GGA-PBE.

Output
Magnetic moment (μB/f.u.): 1.63
E_form (uncorrected) (kJ per mole of atoms): -7.7
Space-group type: R-3m (166)
Calculated density (Mg/m³): 6.09

The structure in POSCAR format:
```
CsReS2
1.0
1.838 1.061 8.924
-1.838 1.061 8.924
0.000 -2.122 8.924
Cs Re S
1 1 2
Direct
0.000 0.000 0.000
0.500 0.500 0.500
0.120 0.120 0.120
0.880 0.880 0.880
```

***

[3]
A geometry-optimized DyPuSe structure. Source: Alexandria, functional GGA-PBE.

Output
Magnetic moment (μB/f.u.): 6.20
E_form (uncorrected) (kJ per mole of atoms): -72.8
Space-group type: I4mm (107)
Calculated density (Mg/m³): 10.16

The structure in POSCAR format:
```
DyPuSe
1.0
-1.769 1.769 6.337
1.769 -1.769 6.337
1.769 1.769 -6.337
Dy Pu Se
1 1 1
Direct
0.000 0.000 0.000
0.281 0.281 0.000
0.636 0.636 0.000
```

***

[4]
A geometry-optimized ZrMo2Os structure. Source: Alexandria, functional GGA-PBE.

Output
Magnetic moment (μB/f.u.): 0.00
Space-group type: Immm (71)
ΔE_f (kJ/mol of atoms): -6.0
Calculated density (Mg/m³): 11.72

The structure in POSCAR format:
```
ZrMo2Os
1.0
-1.606 2.259 4.620
1.606 -2.259 4.620
1.606 2.259 -4.620
Zr Mo Os
1 2 1
Direct
0.000 0.000 0.000
0.253 0.753 0.500
0.747 0.247 0.500
0.500 0.500 0.000
```

***

[5]
A geometry-optimized NaSc2TiZn structure. Source: Alexandria, functional GGA-PBE.

Output
Magnetic moment (μB/f.u.): 3.48
Space-group type: P4/mmm (123)
ΔE_f (kJ/mol of atoms): 69.3
Calculated density (Mg/m³): 2.85

The structure in POSCAR format:
```
NaSc2TiZn
1.0
5.165 0.000 0.000
0.000 5.165 0.000
0.000 0.000 4.936
Na Sc Ti Zn
1 2 1 1
Direct
0.000 0.000 0.000
0.000 0.500 0.500
0.500 0.000 0.500
0.500 0.500 0.000
0.000 0.000 0.500
```